The following is a GGA-PBE calculation of crystalline LiSmSO at its relaxed geometry, from OQMD.

As for the energy above the most stable polymorph in this dataset: 99.3 meV per atom.

The structure belongs to space group P2_1/c (No. 14); the cell edges are 5.771, 6.714 and 6.300 Å and the angles 90.00°, 96.43° and 90.00°. The inequivalent atoms are Li at (0.104, 0.208, 0.024), Sm at (0.377, 0.564, 0.235), S at (0.121, 0.577, 0.776) and O at (0.429, 0.222, 0.981).

=====

The following is a GGA-PBE calculation of crystalline Li2Ta2SO3 at its relaxed geometry, from OQMD.

The value obtained for the total energy is -7.768 eV per atom.

The structure belongs to space group P3m1 (No. 156); the cell edges are 2.9796, 2.9796 and 11.5839 Å and the angles 90.00°, 90.00° and 120.00°. The inequivalent atoms are Li at (0.0000, 0.0000, 0.0000), Li at (0.0000, 0.0000, 0.4694), Ta at (0.0000, 0.0000, 0.2326), Ta at (0.0000, 0.0000, 0.7023), S at (0.6667, 0.3333, 0.8482), O at (0.3333, 0.6667, 0.1165), O at (0.3333, 0.6667, 0.3468) and O at (0.6667, 0.3333, 0.5848).

=====

The following is a GGA-PBE calculation of crystalline Li4SmSbO6 at its relaxed geometry, from OQMD.

The value obtained for the total energy is -5.987 eV per atom.

The structure belongs to space group C2 (No. 5); the cell edges are 5.455, 9.755 and 5.214 Å and the angles 90.00°, 108.15° and 90.00°. The inequivalent atoms are Li at (0.000, 0.000, 0.000), Li at (0.000, 0.133, 0.500), Li at (0.000, 0.325, 0.000), Li at (0.000, 0.601, 0.000), Sm at (0.000, 0.798, 0.500), Sb at (0.000, 0.468, 0.500), O at (0.210, 0.319, 0.740), O at (0.225, 0.613, 0.738) and O at (0.232, 0.472, 0.265).